Entry from the Alexandria database: a geometry-optimized ZrTa2Ag structure (GGA-PBE).

abc: 10.663 10.663 10.663
angles: 15.67 15.67 15.67
Positions (direct):
Ag1 0.750 0.750 0.750
Ta1 0.496 0.496 0.496
Ta2 0.004 0.004 0.004
Zr1 0.250 0.250 0.250

Values from the calculation:
DFT formation energy: 0.319 eV/atom
energy relative to the lowest polymorph listed for this composition: 21.3 kJ/mol of atoms
total magnetization: 0.0 Bohr magnetons per cell
SG: No. 166